VASP calculation (PBE-GGA) on an optimized crystal structure of HfNbOsW.

DOS at the Fermi energy   0.58 states/eV/atom
Formation energy from the elements   -0.23 eV per atom
VASP energy   -11.2844 eV/atom

abc: 4.589 4.589 4.589
angles: 60.00 60.00 60.00
Positions (direct):
Hf  0.000  0.000  0.000
Nb  0.500  0.500  0.500
Os  0.250  0.250  0.250
W  0.750  0.750  0.750